Density functional theory data (PBE) for a relaxed Na3PmU2N6 crystal.

Properties
- energy relative to the elements, uncorrected (eV/atom) = -1.0196
- size of the total moment (μB per atom) = 0.000

Lattice parameters (Å, degrees): 3.573 7.019 7.804 102.70 103.23 90.00
Positions (direct):
Na 0.831 0.166 0.662
N 0.687 0.546 0.373
Na 0.169 0.834 0.338
N 0.313 0.454 0.627
Pm 0.500 0.000 0.000
N 0.971 0.751 0.942
N 0.029 0.249 0.058
U 0.167 0.331 0.334
N 0.664 0.138 0.328
N 0.336 0.862 0.672
Na 0.500 0.500 0.000
U 0.833 0.669 0.666